8
Lattice="-2.2656 3.6746 -2.0707 -2.3897 0.8186 4.0673 4.5761 8.1225 3.8719" Properties=species:S:1:pos:R:3 comment="KTaNb2, optimized geometry, DFT PBE" delta_e_f_mev_per_atom=1782 space_group=I-42d pbc="T T T"
Nb -0.8765 4.9256 -0.0974
Nb -2.5925 6.1802 1.4600
Nb 2.0090 7.6664 3.1036
Nb 1.4258 9.3154 1.1326
K -2.3276 2.2466 0.9983
K -0.0706 5.5939 4.4687
Ta 0.0000 0.0000 0.0000
Ta -0.0086 7.0219 1.3997

5
Lattice="-2.3943 -4.6478 -0.5789 4.0282 -2.3751 2.4088 -2.3898 0.6531 4.6403" Properties=species:S:1:pos:R:3 comment="SiRhPb3, optimized geometry, DFT PBE" space_group=Pm-3m raw_formation_energy_mev_per_atom=443 pbc="T T T"
Pb 2.0141 -1.1876 1.2044
Pb -1.1949 0.3265 2.3202
Pb -1.1971 -2.3239 -0.2895
Si -0.3779 -3.1849 3.2351
Rh 0.0000 0.0000 0.0000

no.,size of the total moment (μB per cell)
1,0.00
2,0.00